(1)
A relaxed structure of La6Ir2AuI3. Source: the Alexandria database, functional PBE.

Computed properties:
- uncorrected formation energy (eV/atom) = -1.0636
- crystal system = monoclinic

Lattice parameters (Å, degrees): 7.4881 12.9709 8.6077 90.00 106.85 90.00
Space group C2/m (No. 12)
Symmetry-distinct sites (fractional):
La: 0.2108 0.0000 0.1881 x4
La: 0.2391 0.3240 0.1889 x8
Ir: 0.0000 0.1668 0.0000 x4
Au: 0.0000 0.5000 0.0000 x2
I: 0.0000 0.0000 0.5000 x2
I: 0.0000 0.3354 0.5000 x4

(2)
A relaxed structure of La8Ir3AuI4. Source: the Alexandria database, functional PBE.

Computed properties:
- uncorrected formation energy (eV/atom) = -1.0710
- crystal system = trigonal

Lattice parameters (Å, degrees): 8.6163 8.6163 24.7049 90.00 90.00 120.00
Space group R-3m (No. 166, hexagonal axes)
Symmetry-distinct sites (fractional):
La: 0.0000 0.0000 0.2290 x6
La: 0.0154 0.5077 0.7710 x18
Ir: 0.0000 0.5000 0.5000 x9
Au: 0.0000 0.0000 0.5000 x3
I: 0.0000 0.0000 0.0000 x3
I: 0.0000 0.5000 0.0000 x9

(3)
A relaxed structure of IrAu2IN. Source: the Alexandria database, functional PBE.

Computed properties:
- uncorrected formation energy (eV/atom) = 1.2883
- crystal system = tetragonal

Lattice parameters (Å, degrees): 4.0183 4.0183 7.2071 90.00 90.00 90.00
Space group P4/mmm (No. 123)
Symmetry-distinct sites (fractional):
Ir: 0.0000 0.0000 0.0000 x1
Au: 0.0000 0.5000 0.5000 x2
I: 0.5000 0.5000 0.0000 x1
N: 0.5000 0.5000 0.5000 x1

(4)
A relaxed structure of NaIrAu2I. Source: the Alexandria database, functional PBE.

Computed properties:
- uncorrected formation energy (eV/atom) = 1.3939
- crystal system = tetragonal

Lattice parameters (Å, degrees): 4.8725 4.8725 4.9901 90.00 90.00 90.00
Space group P4/mmm (No. 123)
Symmetry-distinct sites (fractional):
Na: 0.0000 0.0000 0.0000 x1
Ir: 0.0000 0.0000 0.5000 x1
Au: 0.0000 0.5000 0.0000 x2
I: 0.5000 0.5000 0.5000 x1

(5)
A relaxed structure of Nd6Ir2AuI3. Source: the Alexandria database, functional PBE.

Computed properties:
- uncorrected formation energy (eV/atom) = -0.9470
- crystal system = monoclinic

Lattice parameters (Å, degrees): 7.4045 12.8236 8.4808 90.00 106.89 90.00
Space group C2/m (No. 12)
Symmetry-distinct sites (fractional):
Nd: 0.2104 0.0000 0.1869 x4
Nd: 0.2387 0.3241 0.1877 x8
Ir: 0.0000 0.1668 0.0000 x4
Au: 0.0000 0.5000 0.0000 x2
I: 0.0000 0.0000 0.5000 x2
I: 0.0000 0.3345 0.5000 x4

(6)
A relaxed structure of Nd4IrAuI2. Source: the Alexandria database, functional PBE.

Computed properties:
- uncorrected formation energy (eV/atom) = -0.9158
- crystal system = monoclinic

Lattice parameters (Å, degrees): 7.4674 4.2877 8.4760 90.00 107.12 90.00
Space group P2/m (No. 10)
Symmetry-distinct sites (fractional):
Nd: 0.2188 0.0000 0.1875 x2
Nd: 0.2486 0.5000 0.8092 x2
Ir: 0.0000 0.5000 0.0000 x1
Au: 0.5000 0.0000 0.0000 x1
I: 0.0000 0.0000 0.5000 x1
I: 0.5000 0.5000 0.5000 x1